1.
Ho4SnRh: relaxed, PBE.

Unit cell a=8.882 b=13.350 c=6.007 alpha=90.00 beta=113.82 gamma=90.00
Space group C2/c (No. 15)
One atom of each set of equivalent atoms:
Ho: 0.113 0.171 0.069
Ho: 0.213 0.428 0.337
Sn: 0.000 0.372 0.750
Rh: 0.000 0.000 0.250

Volume   652 Å³ per cell
D(E_F)   5.16 states/eV/f.u.
Energy relative to the elements   -0.597 eV/atom



2.
HoSn2Rh: relaxed, PBE.

Unit cell a=4.398 b=4.398 c=4.429 alpha=90.00 beta=90.00 gamma=90.00
Space group P4/mmm (No. 123)
One atom of each set of equivalent atoms:
Ho: 0.000 0.000 0.000
Sn: 0.000 0.500 0.500
Rh: 0.500 0.500 0.000

Volume   86 Å³ per cell
D(E_F)   1.20 states/eV/f.u.
Energy relative to the elements   -0.509 eV/atom



3.
Ho4Sn6Rh7: relaxed, PBE.

Unit cell a=8.760 b=8.760 c=8.760 alpha=90.00 beta=90.00 gamma=90.00
Space group Im-3m (No. 229)
One atom of each set of equivalent atoms:
Ho: 0.250 0.250 0.250
Sn: 0.000 0.000 0.315
Rh: 0.000 0.000 0.000
Rh: 0.000 0.250 0.500

Volume   672 Å³ per cell
D(E_F)   9.82 states/eV/f.u.
Energy relative to the elements   -0.817 eV/atom



Number 1 is which compound?
Ho4SnRh



The lowest energy relative to the elements belongs to which entry?
Ho4Sn6Rh7